No. 1
The following is a PBE calculation of a geometry-optimized LaPaTl structure, from the Alexandria database.

The structure in CIF format:
```
data_LaPaTl
_chemical_formula_sum 'La8 Pa8 Tl8'
_space_group_name_H-M_alt 'F m m m'
_space_group_IT_number 69
_space_group_name_Hall '-F 2 2'
_cell_length_a 6.206
_cell_length_b 9.916
_cell_length_c 11.698
_cell_angle_alpha 90.00
_cell_angle_beta 90.00
_cell_angle_gamma 90.00
loop_
_atom_site_label
_atom_site_fract_x
_atom_site_fract_y
_atom_site_fract_z
La1 0.000 0.188 0.000
Pa1 0.250 0.250 0.250
Tl1 0.000 0.000 0.368
```

Computed properties:
Size of the total moment = 1.28 μB per cell
Formation enthalpy at 0 K = 0.219 eV/atom



No. 2
The following is a PBE calculation of a geometry-optimized DyBeNiC structure, from the Alexandria database.

The structure in CIF format:
```
data_DyBeNiC
_chemical_formula_sum 'Dy2 Be2 Ni2 C2'
_space_group_name_H-M_alt 'P 4/n m m'
_space_group_IT_number 129
_cell_length_a 3.570
_cell_length_b 3.570
_cell_length_c 8.265
_cell_angle_alpha 90.00
_cell_angle_beta 90.00
_cell_angle_gamma 90.00
loop_
_space_group_symop_operation_xyz
'x,y,z'
'-x,-y,-z'
'-y+1/2,x,z'
'y+1/2,-x,-z'
'-x+1/2,-y+1/2,z'
'x+1/2,y+1/2,-z'
'y,-x+1/2,z'
'-y,x+1/2,-z'
'x+1/2,-y,-z'
'-x+1/2,y,z'
'-y,-x,-z'
'y,x,z'
'-x,y+1/2,-z'
'x,-y+1/2,z'
'y+1/2,x+1/2,-z'
'-y+1/2,-x+1/2,z'
loop_
_atom_site_label
_atom_site_fract_x
_atom_site_fract_y
_atom_site_fract_z
Dy1 0.250 0.250 0.156
Be1 0.250 0.250 0.657
Ni1 0.250 0.750 0.500
C1 0.250 0.250 0.860
```

Computed properties:
Size of the total moment = 0.00 μB per cell
Formation enthalpy at 0 K = -0.211 eV/atom



No. 3
The following is a PBE calculation of a geometry-optimized Pa2GeSe structure, from the Alexandria database.

The structure in CIF format:
```
data_Pa2GeSe
_chemical_formula_sum 'Pa6 Ge3 Se3'
_space_group_name_H-M_alt 'R -3 m'
_space_group_IT_number 166
_space_group_name_Hall '-R 3 2"'
_cell_length_a 4.1453
_cell_length_b 4.1453
_cell_length_c 19.6949
_cell_angle_alpha 90.00
_cell_angle_beta 90.00
_cell_angle_gamma 120.00
loop_
_atom_site_label
_atom_site_fract_x
_atom_site_fract_y
_atom_site_fract_z
Pa1 0.0000 0.0000 0.2504
Ge1 0.0000 0.0000 0.0000
Se1 0.0000 0.0000 0.5000
```

Computed properties:
Size of the total moment = 0.00 μB per cell
Formation energy without anion corrections = -84.2 kJ per mole of atoms



No. 4
The following is a PBE calculation of a geometry-optimized Ta5Si structure, from the Alexandria database.

The structure in CIF format:
```
data_Ta5Si
_chemical_formula_sum 'Ta20 Si4'
_space_group_name_H-M_alt 'F -4 3 m'
_space_group_IT_number 216
_space_group_name_Hall 'F -4 2 3'
_cell_length_a 7.639
_cell_length_b 7.639
_cell_length_c 7.639
_cell_angle_alpha 90.00
_cell_angle_beta 90.00
_cell_angle_gamma 90.00
loop_
_atom_site_label
_atom_site_fract_x
_atom_site_fract_y
_atom_site_fract_z
Ta1 0.000 0.000 0.000
Ta2 0.125 0.125 0.625
Si1 0.250 0.250 0.250
```

Computed properties:
Size of the total moment = 0.00 μB per cell
Formation energy without anion corrections = 43.2 kJ per mole of atoms



Number 1: V 30.00 Å³/atom, calculated total energy -0.198 Ha/atom. Number 2: V 13.17 Å³/atom, calculated total energy -0.222 Ha/atom. Number 3: V 24.42 Å³/atom, calculated total energy -0.281 Ha/atom. Number 4: V 18.58 Å³/atom, calculated total energy -0.380 Ha/atom.